1.
TmZn9Au2 after structural relaxation, computed with PBE.

```
data_TmZn9Au2
_space_group_name_H-M_alt 'I 41/a m d'
_space_group_IT_number 141
_cell_length_a 10.722
_cell_length_b 10.722
_cell_length_c 6.913
_cell_angle_alpha 90.00
_cell_angle_beta 90.00
_cell_angle_gamma 90.00
loop_
_space_group_symop_operation_xyz
'x,y,z'
'-x,-y,-z'
'-y+1/4,x+3/4,z+1/4'
'y+1/4,-x+3/4,-z+1/4'
'-x+1/2,-y,z+1/2'
'x+1/2,y,-z+1/2'
'y+1/4,-x+1/4,z+3/4'
'-y+1/4,x+1/4,-z+3/4'
'x,-y,-z'
'-x,y,z'
'-y+1/4,-x+1/4,-z+3/4'
'y+1/4,x+1/4,z+3/4'
'-x+1/2,y,-z+1/2'
'x+1/2,-y,z+1/2'
'y+1/4,x+3/4,-z+1/4'
'-y+1/4,-x+3/4,z+1/4'
'x+1/2,y+1/2,z+1/2'
'-x+1/2,-y+1/2,-z+1/2'
'-y+3/4,x+1/4,z+3/4'
'y+3/4,-x+1/4,-z+3/4'
'-x,-y+1/2,z'
'x,y+1/2,-z'
'y+3/4,-x+3/4,z+1/4'
'-y+3/4,x+3/4,-z+1/4'
'x+1/2,-y+1/2,-z+1/2'
'-x+1/2,y+1/2,z+1/2'
'-y+3/4,-x+3/4,-z+1/4'
'y+3/4,x+3/4,z+1/4'
'-x,y+1/2,-z'
'x,-y+1/2,z'
'y+3/4,x+1/4,-z+3/4'
'-y+3/4,-x+1/4,z+3/4'
loop_
_atom_site_label
_atom_site_type_symbol
_atom_site_fract_x
_atom_site_fract_y
_atom_site_fract_z
Tm1 Tm 0.000 0.250 0.375
Zn1 Zn 0.000 0.250 0.875
Zn2 Zn 0.120 0.043 0.670
Au1 Au 0.000 0.000 0.000
```

Results
Energy of formation ... -0.244 eV per atom
Total DFT energy (no corrections) ... -25.4 eV/f.u.
Polymorph energy (0 for the lowest one) ... 0.00 eV per formula unit
Total magnetic moment ... 0.0 Bohr magnetons per cell



2.
Hf12Sn6Ge after structural relaxation, computed with PBE.

```
data_Hf12Sn6Ge
_space_group_name_H-M_alt 'R -3'
_space_group_IT_number 148
_space_group_name_Hall '-R 3'
_cell_length_a 11.7981
_cell_length_b 11.7981
_cell_length_c 11.4487
_cell_angle_alpha 90.00
_cell_angle_beta 90.00
_cell_angle_gamma 120.00
loop_
_atom_site_label
_atom_site_type_symbol
_atom_site_fract_x
_atom_site_fract_y
_atom_site_fract_z
Hf1 Hf 0.0354 0.8599 0.3868
Hf2 Hf 0.0735 0.8872 0.8468
Sn1 Sn 0.0220 0.6114 0.2971
Ge1 Ge 0.0000 0.0000 0.0000
```

Results
Energy of formation ... 0.039 eV per atom
Total DFT energy (no corrections) ... -147.3 eV/f.u.
Total magnetic moment ... 0.0 Bohr magnetons per cell



3.
BaMgTi2H after structural relaxation, computed with PBE.

```
data_BaMgTi2H
_space_group_name_H-M_alt 'P 4/m m m'
_space_group_IT_number 123
_space_group_name_Hall '-P 4 2'
_cell_length_a 5.977
_cell_length_b 5.977
_cell_length_c 3.646
_cell_angle_alpha 90.00
_cell_angle_beta 90.00
_cell_angle_gamma 90.00
loop_
_atom_site_label
_atom_site_type_symbol
_atom_site_fract_x
_atom_site_fract_y
_atom_site_fract_z
Ba1 Ba 0.000 0.000 0.000
Mg1 Mg 0.500 0.500 0.500
Ti1 Ti 0.000 0.500 0.500
H1 H 0.500 0.500 0.000
```

Results
Total DFT energy (no corrections) ... -17.0 eV/f.u.
Total magnetic moment ... 6.1 Bohr magnetons per cell